Computed, not measured: crystalline Cr2Re at its relaxed geometry at the PBE level of DFT.

Calculated values
Formation energy from the elements, kJ/mol of formula units: 146

Cell lengths 2.7459, 4.1973, 13.8836 Å; angles 90.00, 90.00, 90.00 degrees
Space group Imma (No. 74)
Symmetry-distinct sites (fractional):
Cr 0.0000 0.2500 0.0244 (multiplicity 4)
Cr 0.0000 0.2500 0.1887 (multiplicity 4)
Re 0.0000 0.2500 0.6431 (multiplicity 4)